1.
VASP calculation (PBE) on an optimized crystal structure of MgZrTeMo.

Unit cell a=6.788 b=6.788 c=6.788 alpha=90.00 beta=90.00 gamma=90.00
Fractional coordinates of all 16 atoms:
Mg: 0.000 0.000 0.000
Mg: 0.000 0.500 0.500
Mg: 0.500 0.000 0.500
Mg: 0.500 0.500 0.000
Zr: 0.250 0.250 0.750
Zr: 0.250 0.750 0.250
Zr: 0.750 0.250 0.250
Zr: 0.750 0.750 0.750
Te: 0.000 0.000 0.500
Te: 0.000 0.500 0.000
Te: 0.500 0.000 0.000
Te: 0.500 0.500 0.500
Mo: 0.250 0.250 0.250
Mo: 0.250 0.750 0.750
Mo: 0.750 0.250 0.750
Mo: 0.750 0.750 0.250

Output
- SG = F-43m (216)
- total moment (Bohr magnetons per cell) = 0.1

---

2.
VASP calculation (PBE) on an optimized crystal structure of MgZrTeMo.

Unit cell a=6.737 b=6.737 c=6.737 alpha=90.00 beta=90.00 gamma=90.00
Fractional coordinates of all 16 atoms:
Mg: 0.000 0.000 0.000
Mg: 0.000 0.500 0.500
Mg: 0.500 0.000 0.500
Mg: 0.500 0.500 0.000
Zr: 0.250 0.250 0.750
Zr: 0.250 0.750 0.250
Zr: 0.750 0.250 0.250
Zr: 0.750 0.750 0.750
Te: 0.250 0.250 0.250
Te: 0.250 0.750 0.750
Te: 0.750 0.250 0.750
Te: 0.750 0.750 0.250
Mo: 0.000 0.000 0.500
Mo: 0.000 0.500 0.000
Mo: 0.500 0.000 0.000
Mo: 0.500 0.500 0.500

Output
- SG = F-43m (216)
- total moment (Bohr magnetons per cell) = 0.0

---

Structures ranked by computed energy, the most stable listed first: 2, 1.

---

1.
VASP calculation (PBE) on an optimized crystal structure of MgNbNO.

Unit cell a=3.414 b=3.414 c=7.483 alpha=90.00 beta=90.00 gamma=90.00
Fractional coordinates of all 8 atoms:
Mg: 0.250 0.750 0.000
Mg: 0.750 0.250 0.000
Nb: 0.250 0.250 0.333
Nb: 0.750 0.750 0.667
N: 0.250 0.250 0.813
N: 0.750 0.750 0.187
O: 0.250 0.750 0.500
O: 0.750 0.250 0.500

Output
- SG = P4/nmm (129)
- total moment (Bohr magnetons per cell) = 0.0

---

2.
VASP calculation (PBE) on an optimized crystal structure of MgNbNO.

Unit cell a=4.310 b=4.310 c=4.516 alpha=90.00 beta=90.00 gamma=90.00
Fractional coordinates of all 8 atoms:
Mg: 0.250 0.250 0.001
Mg: 0.750 0.750 0.999
Nb: 0.250 0.750 0.500
Nb: 0.750 0.250 0.500
N: 0.250 0.250 0.501
N: 0.750 0.750 0.499
O: 0.250 0.750 0.000
O: 0.750 0.250 0.000

Output
- SG = P4/nmm (129)
- total moment (Bohr magnetons per cell) = 0.0

---

Structures ranked by computed energy, the most stable listed first: 2, 1.

---

1.
VASP calculation (PBE) on an optimized crystal structure of MgNbNO.

Unit cell a=3.376 b=5.946 c=5.156 alpha=90.00 beta=90.00 gamma=90.00
Fractional coordinates of all 8 atoms:
Mg: 0.000 0.143 0.000
Mg: 0.000 0.857 0.500
Nb: 0.500 0.378 0.437
Nb: 0.500 0.622 0.937
N: 0.000 0.198 0.420
N: 0.000 0.802 0.920
O: 0.500 0.274 0.887
O: 0.500 0.726 0.387

Output
- SG = Pmc2_1 (26)
- total moment (Bohr magnetons per cell) = 0.0

---

2.
VASP calculation (PBE) on an optimized crystal structure of MgNbNO.

Unit cell a=7.232 b=6.159 c=4.375 alpha=90.00 beta=90.00 gamma=90.00
Fractional coordinates of all 16 atoms:
Mg: 0.112 0.094 0.250
Mg: 0.112 0.406 0.750
Mg: 0.888 0.594 0.250
Mg: 0.888 0.906 0.750
Nb: 0.385 0.564 0.250
Nb: 0.385 0.936 0.750
Nb: 0.615 0.064 0.250
Nb: 0.615 0.436 0.750
N: 0.141 0.071 0.750
N: 0.141 0.429 0.250
N: 0.859 0.571 0.750
N: 0.859 0.929 0.250
O: 0.342 0.598 0.750
O: 0.342 0.902 0.250
O: 0.658 0.098 0.750
O: 0.658 0.402 0.250

Output
- SG = Pbcm (57)
- total moment (Bohr magnetons per cell) = 0.0

---

Structures ranked by computed energy, the most stable listed first: 1, 2.

---

1.
VASP calculation (PBE) on an optimized crystal structure of NdMgNO.

Unit cell a=3.462 b=5.685 c=5.906 alpha=90.00 beta=90.00 gamma=90.00
Fractional coordinates of all 8 atoms:
Nd: 0.000 0.198 0.000
Nd: 0.000 0.802 0.500
Mg: 0.500 0.253 0.523
Mg: 0.500 0.747 0.023
N: 0.500 0.040 0.242
N: 0.500 0.960 0.742
O: 0.000 0.405 0.606
O: 0.000 0.595 0.106

Output
- SG = Pmc2_1 (26)
- total moment (Bohr magnetons per cell) = 0.0

---

2.
VASP calculation (PBE) on an optimized crystal structure of NdMgNO.

Unit cell a=5.868 b=7.820 c=5.270 alpha=90.00 beta=90.00 gamma=90.00
Fractional coordinates of all 16 atoms:
Nd: 0.043 0.150 0.000
Nd: 0.457 0.150 0.500
Nd: 0.543 0.850 0.000
Nd: 0.957 0.850 0.500
Mg: 0.073 0.605 0.982
Mg: 0.427 0.605 0.482
Mg: 0.573 0.395 0.982
Mg: 0.927 0.395 0.482
N: 0.054 0.146 0.529
N: 0.446 0.146 0.029
N: 0.554 0.854 0.529
N: 0.946 0.854 0.029
O: 0.112 0.584 0.610
O: 0.388 0.584 0.110
O: 0.612 0.416 0.610
O: 0.888 0.416 0.110

Output
- SG = Pca2_1 (29)
- total moment (Bohr magnetons per cell) = 0.0

---

Structures ranked by computed energy, the most stable listed first: 2, 1.

---

1.
VASP calculation (PBE) on an optimized crystal structure of MgOsNO.

Unit cell a=3.303 b=5.800 c=5.261 alpha=90.00 beta=90.00 gamma=90.00
Fractional coordinates of all 8 atoms:
Mg: 0.000 0.215 0.000
Mg: 0.000 0.785 0.500
Os: 0.500 0.269 0.485
Os: 0.500 0.731 0.985
N: 0.000 0.138 0.413
N: 0.000 0.862 0.913
O: 0.500 0.380 0.880
O: 0.500 0.620 0.380

Output
- SG = Pmc2_1 (26)
- total moment (Bohr magnetons per cell) = 0.0

---

2.
VASP calculation (PBE) on an optimized crystal structure of MgOsNO.

Unit cell a=3.739 b=3.739 c=7.596 alpha=90.00 beta=90.00 gamma=90.00
Fractional coordinates of all 8 atoms:
Mg: 0.250 0.250 0.083
Mg: 0.750 0.750 0.917
Os: 0.250 0.750 0.500
Os: 0.750 0.250 0.500
N: 0.250 0.250 0.374
N: 0.750 0.750 0.626
O: 0.250 0.750 0.000
O: 0.750 0.250 0.000

Output
- SG = P4/nmm (129)
- total moment (Bohr magnetons per cell) = 0.0

---

Structures ranked by computed energy, the most stable listed first: 2, 1.

---

1.
VASP calculation (PBE) on an optimized crystal structure of MgOsNO.

Unit cell a=2.930 b=6.131 c=5.169 alpha=90.00 beta=90.00 gamma=90.00
Fractional coordinates of all 8 atoms:
Mg: 0.000 0.144 0.000
Mg: 0.000 0.856 0.500
Os: 0.500 0.412 0.449
Os: 0.500 0.588 0.949
N: 0.500 0.301 0.806
N: 0.500 0.699 0.306
O: 0.000 0.159 0.376
O: 0.000 0.841 0.876

Output
- SG = Pmc2_1 (26)
- total moment (Bohr magnetons per cell) = 0.0

---

2.
VASP calculation (PBE) on an optimized crystal structure of MgOsNO.

Unit cell a=3.494 b=3.494 c=7.077 alpha=90.00 beta=90.00 gamma=90.00
Fractional coordinates of all 8 atoms:
Mg: 0.250 0.750 0.000
Mg: 0.750 0.250 0.000
Os: 0.250 0.250 0.332
Os: 0.750 0.750 0.668
N: 0.250 0.250 0.824
N: 0.750 0.750 0.176
O: 0.250 0.750 0.500
O: 0.750 0.250 0.500

Output
- SG = P4/nmm (129)
- total moment (Bohr magnetons per cell) = 0.7

---

3.
VASP calculation (PBE) on an optimized crystal structure of MgOsNO.

Unit cell a=5.242 b=6.992 c=4.965 alpha=90.00 beta=90.00 gamma=90.00
Fractional coordinates of all 16 atoms:
Mg: 0.108 0.110 0.000
Mg: 0.392 0.110 0.500
Mg: 0.608 0.890 0.000
Mg: 0.892 0.890 0.500
Os: 0.087 0.566 0.045
Os: 0.413 0.566 0.545
Os: 0.587 0.434 0.045
Os: 0.913 0.434 0.545
N: 0.077 0.673 0.669
N: 0.423 0.673 0.169
N: 0.577 0.327 0.669
N: 0.923 0.327 0.169
O: 0.039 0.132 0.621
O: 0.461 0.132 0.121
O: 0.539 0.868 0.621
O: 0.961 0.868 0.121

Output
- SG = Pca2_1 (29)
- total moment (Bohr magnetons per cell) = 0.0

---

Structures ranked by computed energy, the most stable listed first: 3, 1, 2.